Record 1
# La3Pm2TmTe6

A relaxed structure of La3Pm2TmTe6 (PBE-GGA, the Alexandria database).

Properties
Volume: 385.8 Å³/f.u.
M_tot: 0.000 μB/f.u.
Calculated total energy: -130.42 eV for the cell shown

Cell: 19.596 4.476 9.039 Å, 90.00 103.28 90.00°
Space group C2/m (No. 12)
Asymmetric unit:
La 0.000 0.000 0.000 [2 per cell]
La 0.171 0.500 0.334 [4 per cell]
Pm 0.169 0.500 0.836 [4 per cell]
Tm 0.000 0.000 0.500 [2 per cell]
Te 0.000 0.500 0.265 [4 per cell]
Te 0.159 0.000 0.585 [4 per cell]
Te 0.167 0.000 0.079 [4 per cell]

---

Record 2
# La3PmTm3Te8

A relaxed structure of La3PmTm3Te8 (PBE-GGA, the Alexandria database).

Properties
Volume: 490.8 Å³/f.u.
M_tot: 0.000 μB/f.u.
Calculated total energy: -239.39 eV for the cell shown

Cell: 8.8122 8.8122 21.8952 Å, 90.00 90.00 120.00°
Space group R-3m (No. 166, hexagonal axes)
Asymmetric unit:
La 0.0000 0.5000 0.0000 [9 per cell]
Pm 0.0000 0.0000 0.5000 [3 per cell]
Tm 0.0000 0.5000 0.5000 [9 per cell]
Te 0.0000 0.0000 0.2432 [6 per cell]
Te 0.0174 0.5087 0.7526 [18 per cell]

---

Record 3
# La2PmTm3Te6

A relaxed structure of La2PmTm3Te6 (PBE-GGA, the Alexandria database).

Properties
Volume: 366.9 Å³/f.u.
M_tot: 0.000 μB/f.u.
Calculated total energy: -126.40 eV for the cell shown

Cell: 19.484 4.351 9.000 Å, 90.00 105.90 90.00°
Space group C2/m (No. 12)
Asymmetric unit:
La 0.165 0.000 0.330 [4 per cell]
Pm 0.000 0.500 0.000 [2 per cell]
Tm 0.000 0.500 0.500 [2 per cell]
Tm 0.168 0.000 0.833 [4 per cell]
Te 0.006 0.000 0.743 [4 per cell]
Te 0.162 0.500 0.594 [4 per cell]
Te 0.169 0.500 0.068 [4 per cell]

---

Record 4
# La4PmTm3Te8

A relaxed structure of La4PmTm3Te8 (PBE-GGA, the Alexandria database).

Properties
Volume: 502.8 Å³/f.u.
M_tot: 0.000 μB/f.u.
Calculated total energy: -256.97 eV for the cell shown

Cell: 8.8575 8.8575 22.2008 Å, 90.00 90.00 120.00°
Space group R-3m (No. 166, hexagonal axes)
Asymmetric unit:
La 0.0000 0.0000 0.0000 [3 per cell]
La 0.0000 0.5000 0.0000 [9 per cell]
Pm 0.0000 0.0000 0.5000 [3 per cell]
Tm 0.0000 0.5000 0.5000 [9 per cell]
Te 0.0000 0.0000 0.2426 [6 per cell]
Te 0.0069 0.5034 0.7558 [18 per cell]

---

Record 5
# LaPmTmTe3

A relaxed structure of LaPmTmTe3 (PBE-GGA, the Alexandria database).

Properties
Volume: 197.6 Å³/f.u.
M_tot: 0.001 μB/f.u.
Calculated total energy: -62.54 eV for the cell shown

Cell: 8.645 4.388 10.801 Å, 90.00 105.35 90.00°
Space group P2_1/m (No. 11)
Asymmetric unit:
La 0.193 0.250 0.219 [2 per cell]
Pm 0.336 0.750 0.910 [2 per cell]
Tm 0.153 0.250 0.622 [2 per cell]
Te 0.081 0.250 0.888 [2 per cell]
Te 0.218 0.750 0.456 [2 per cell]
Te 0.488 0.750 0.214 [2 per cell]

---

Record 6
# LaPm3Y2Te6

A relaxed structure of LaPm3Y2Te6 (PBE-GGA, the Alexandria database).

Properties
Volume: 374.7 Å³/f.u.
M_tot: 0.000 μB/f.u.
Calculated total energy: -135.66 eV for the cell shown

Cell: 19.397 4.432 8.955 Å, 90.00 103.23 90.00°
Space group C2/m (No. 12)
Asymmetric unit:
La 0.000 0.000 0.000 [2 per cell]
Pm 0.000 0.000 0.500 [2 per cell]
Pm 0.162 0.500 0.831 [4 per cell]
Y 0.166 0.500 0.332 [4 per cell]
Te 0.004 0.500 0.257 [4 per cell]
Te 0.169 0.000 0.578 [4 per cell]
Te 0.171 0.000 0.091 [4 per cell]